No. 1
Density functional theory data (PBE) for a relaxed structure of ErMnPbS4.

```
ErMnPbS4
1.0
-0.655 6.584 0.289
-5.282 -0.392 -3.046
-3.604 -3.156 6.653
Er Mn Pb S
2 2 2 8
Direct
0.761 0.750 0.443
0.239 0.250 0.557
0.232 0.750 0.322
0.768 0.250 0.678
0.719 0.750 0.941
0.281 0.250 0.059
0.014 0.508 0.723
0.986 0.008 0.277
0.986 0.492 0.277
0.014 0.992 0.723
0.433 0.750 0.136
0.567 0.250 0.864
0.442 0.750 0.596
0.558 0.250 0.404
```

Output
spin magnetization = 4.00 μB/f.u.

---

No. 2
Density functional theory data (PBE) for a relaxed structure of KLaSbI2.

```
KLaSbI2
1.0
6.364 0.000 0.000
0.000 6.364 0.000
0.000 0.000 6.182
I Sb K La
2 1 1 1
Direct
0.000 0.500 0.000
0.500 0.000 0.000
0.000 0.000 0.500
0.500 0.500 0.500
0.000 0.000 0.000
```

Output
spin magnetization = 0.70 μB/f.u.

---

The calculation returns the following raw total energy values, one per record and in order: -81.607; -17.811 eV for the cell shown.
The calculation returns the following energy relative to the elements, uncorrected values, one per record and in order: -0.98; -0.91 eV/atom.